Record 1
A relaxed Ho2ScGe3Pt4 crystal. Source: Alexandria, functional PBE.

Geometry as CIF:
```
data_Ho2ScGe3Pt4
_space_group_name_H-M_alt 'P -4 m 2'
_space_group_IT_number 115
_space_group_name_Hall 'P -4 -2'
_cell_length_a 4.1020
_cell_length_b 4.1020
_cell_length_c 11.3685
_cell_angle_alpha 90.00
_cell_angle_beta 90.00
_cell_angle_gamma 90.00
loop_
_atom_site_label
_atom_site_type_symbol
_atom_site_fract_x
_atom_site_fract_y
_atom_site_fract_z
Ho1 Ho 0.0000 0.5000 0.2295
Sc1 Sc 0.0000 0.0000 0.5000
Ge1 Ge 0.0000 0.5000 0.8656
Ge2 Ge 0.5000 0.5000 0.5000
Pt1 Pt 0.0000 0.0000 0.0000
Pt2 Pt 0.0000 0.5000 0.6511
Pt3 Pt 0.5000 0.5000 0.0000
```

Results
ΔH_f (0 K) (eV/atom): -0.972
Density of states at the Fermi level (states/eV per cell): 7.49
Crystal system: tetragonal

=====

Record 2
A relaxed Li2VCu2 crystal. Source: Alexandria, functional PBE.

Geometry as CIF:
```
data_Li2VCu2
_space_group_name_H-M_alt 'I 4/m m m'
_space_group_IT_number 139
_space_group_name_Hall '-I 4 2'
_cell_length_a 3.3255
_cell_length_b 3.3255
_cell_length_c 12.5109
_cell_angle_alpha 90.00
_cell_angle_beta 90.00
_cell_angle_gamma 90.00
loop_
_atom_site_label
_atom_site_type_symbol
_atom_site_fract_x
_atom_site_fract_y
_atom_site_fract_z
Li1 Li 0.0000 0.5000 0.2500
V1 V 0.0000 0.0000 0.0000
Cu1 Cu 0.0000 0.0000 0.4046
```

Results
ΔH_f (0 K) (eV/atom): 0.346
Density of states at the Fermi level (states/eV per cell): 7.89
Excess energy over the best structure of this formula in the dataset (meV/atom): 130
Crystal system: tetragonal

=====

Record 3
A relaxed LaNi2Te crystal. Source: Alexandria, functional PBE.

Geometry as CIF:
```
data_LaNi2Te
_space_group_name_H-M_alt 'R 3 m'
_space_group_IT_number 160
_space_group_name_Hall 'R 3 -2"'
_cell_length_a 4.2217
_cell_length_b 4.2217
_cell_length_c 16.1161
_cell_angle_alpha 90.00
_cell_angle_beta 90.00
_cell_angle_gamma 120.00
loop_
_atom_site_label
_atom_site_type_symbol
_atom_site_fract_x
_atom_site_fract_y
_atom_site_fract_z
La1 La 0.0000 0.0000 0.0000
Ni1 Ni 0.0000 0.0000 0.2190
Ni2 Ni 0.0000 0.0000 0.5199
Te1 Te 0.0000 0.0000 0.8038
```

Results
DFT total energy (eV/f.u.): -21.6
Density of states at the Fermi level (states/eV per cell): 16.63
Crystal system: trigonal

=====

Record 4
A relaxed NaLi4Ge crystal. Source: Alexandria, functional PBE.

Geometry as CIF:
```
data_NaLi4Ge
_space_group_name_H-M_alt 'C 1 2/c 1'
_space_group_IT_number 15
_space_group_name_Hall '-C 2yc'
_cell_length_a 15.3600
_cell_length_b 6.0731
_cell_length_c 5.4698
_cell_angle_alpha 90.00
_cell_angle_beta 90.34
_cell_angle_gamma 90.00
loop_
_atom_site_label
_atom_site_type_symbol
_atom_site_fract_x
_atom_site_fract_y
_atom_site_fract_z
Na1 Na 0.2500 0.2500 0.0000
Li1 Li 0.0594 0.1632 0.0027
Li2 Li 0.1295 0.3089 0.5016
Ge1 Ge 0.0000 0.4980 0.7500
```

Results
ΔH_f (0 K) (eV/atom): -0.090
Density of states at the Fermi level (states/eV per cell): 7.43
Excess energy over the best structure of this formula in the dataset (meV/atom): 0
Crystal system: monoclinic

=====

Record 5
A relaxed PaSiHg crystal. Source: Alexandria, functional PBE.

Geometry as CIF:
```
data_PaSiHg
_space_group_name_H-M_alt 'C m c m'
_space_group_IT_number 63
_space_group_name_Hall '-C 2c 2'
_cell_length_a 4.0984
_cell_length_b 16.6422
_cell_length_c 3.8688
_cell_angle_alpha 90.00
_cell_angle_beta 90.00
_cell_angle_gamma 90.00
loop_
_atom_site_label
_atom_site_type_symbol
_atom_site_fract_x
_atom_site_fract_y
_atom_site_fract_z
Pa1 Pa 0.0000 0.0917 0.2500
Si1 Si 0.0000 0.4583 0.2500
Hg1 Hg 0.0000 0.2899 0.2500
```

Results
DFT total energy (eV/f.u.): -15.9
Density of states at the Fermi level (states/eV per cell): 18.71
Crystal system: orthorhombic

=====

Record 6
A relaxed TbPmHoAl crystal. Source: Alexandria, functional PBE.

Geometry as CIF:
```
data_TbPmHoAl
_space_group_name_H-M_alt 'F -4 3 m'
_space_group_IT_number 216
_space_group_name_Hall 'F -4 2 3'
_cell_length_a 7.6198
_cell_length_b 7.6198
_cell_length_c 7.6198
_cell_angle_alpha 90.00
_cell_angle_beta 90.00
_cell_angle_gamma 90.00
loop_
_atom_site_label
_atom_site_type_symbol
_atom_site_fract_x
_atom_site_fract_y
_atom_site_fract_z
Tb1 Tb 0.0000 0.0000 0.0000
Pm1 Pm 0.0000 0.0000 0.5000
Ho1 Ho 0.2500 0.2500 0.2500
Al1 Al 0.2500 0.2500 0.7500
```

Results
ΔH_f (0 K) (eV/atom): -0.058
Density of states at the Fermi level (states/eV per cell): 27.53
Excess energy over the best structure of this formula in the dataset (meV/atom): 133
Crystal system: cubic

=====

Record 7
A relaxed RbMnH3 crystal. Source: Alexandria, functional PBE.

Geometry as CIF:
```
data_RbMnH3
_space_group_name_H-M_alt 'P m -3 m'
_space_group_IT_number 221
_space_group_name_Hall '-P 4 2 3'
_cell_length_a 4.0185
_cell_length_b 4.0185
_cell_length_c 4.0185
_cell_angle_alpha 90.00
_cell_angle_beta 90.00
_cell_angle_gamma 90.00
loop_
_atom_site_label
_atom_site_type_symbol
_atom_site_fract_x
_atom_site_fract_y
_atom_site_fract_z
Rb1 Rb 0.0000 0.0000 0.0000
Mn1 Mn 0.5000 0.5000 0.5000
H1 H 0.0000 0.5000 0.5000
```

Results
Density of states at the Fermi level (states/eV per cell): 2.11
Excess energy over the best structure of this formula in the dataset (meV/atom): 0
Crystal system: cubic

=====

Record 8
A relaxed CsNpAs2 crystal. Source: Alexandria, functional PBE.

Geometry as CIF:
```
data_CsNpAs2
_space_group_name_H-M_alt 'R 3 m'
_space_group_IT_number 160
_space_group_name_Hall 'R 3 -2"'
_cell_length_a 4.2956
_cell_length_b 4.2956
_cell_length_c 25.0346
_cell_angle_alpha 90.00
_cell_angle_beta 90.00
_cell_angle_gamma 120.00
loop_
_atom_site_label
_atom_site_type_symbol
_atom_site_fract_x
_atom_site_fract_y
_atom_site_fract_z
Cs1 Cs 0.0000 0.0000 0.0000
Np1 Np 0.0000 0.0000 0.8309
As1 As 0.0000 0.0000 0.2188
As2 As 0.0000 0.0000 0.4428
```

Results
ΔH_f (0 K) (eV/atom): -0.396
Density of states at the Fermi level (states/eV per cell): 21.65
Excess energy over the best structure of this formula in the dataset (meV/atom): 28
Crystal system: trigonal

=====

Record 9
A relaxed NdSm2Ho5Er crystal. Source: Alexandria, functional PBE.

Geometry as CIF:
```
data_NdSm2Ho5Er
_space_group_name_H-M_alt 'I 4/m c m'
_space_group_IT_number 140
_space_group_name_Hall '-I 4 2c'
_cell_length_a 8.7572
_cell_length_b 8.7572
_cell_length_c 15.2172
_cell_angle_alpha 90.00
_cell_angle_beta 90.00
_cell_angle_gamma 90.00
loop_
_atom_site_label
_atom_site_type_symbol
_atom_site_fract_x
_atom_site_fract_y
_atom_site_fract_z
Nd1 Nd 0.0000 0.0000 0.2500
Sm1 Sm 0.1156 0.3844 0.0000
Ho1 Ho 0.0000 0.0000 0.0000
Ho2 Ho 0.2087 0.2913 0.3637
Er1 Er 0.0000 0.5000 0.2500
```

Results
ΔH_f (0 K) (eV/atom): 0.275
Density of states at the Fermi level (states/eV per cell): 41.91
Crystal system: tetragonal

=====

Record 10
A relaxed CaP2Cl crystal. Source: Alexandria, functional PBE.

Geometry as CIF:
```
data_CaP2Cl
_space_group_name_H-M_alt 'F m m m'
_space_group_IT_number 69
_space_group_name_Hall '-F 2 2'
_cell_length_a 5.1849
_cell_length_b 5.2092
_cell_length_c 12.4668
_cell_angle_alpha 90.00
_cell_angle_beta 90.00
_cell_angle_gamma 90.00
loop_
_atom_site_label
_atom_site_type_symbol
_atom_site_fract_x
_atom_site_fract_y
_atom_site_fract_z
Ca1 Ca 0.0000 0.0000 0.0000
P1 P 0.0000 0.2500 0.2500
Cl1 Cl 0.0000 0.0000 0.5000
```

Results
Density of states at the Fermi level (states/eV per cell): 4.32
Excess energy over the best structure of this formula in the dataset (meV/atom): 333
Crystal system: orthorhombic

=====

Record 11
A relaxed CsSiTe2 crystal. Source: Alexandria, functional PBE.

Geometry as CIF:
```
data_CsSiTe2
_space_group_name_H-M_alt 'P 1 21/c 1'
_space_group_IT_number 14
_space_group_name_Hall '-P 2ybc'
_cell_length_a 8.1005
_cell_length_b 9.7965
_cell_length_c 9.5870
_cell_angle_alpha 90.00
_cell_angle_beta 107.70
_cell_angle_gamma 90.00
loop_
_atom_site_label
_atom_site_type_symbol
_atom_site_fract_x
_atom_site_fract_y
_atom_site_fract_z
Cs1 Cs 0.1744 0.0626 0.2998
Si1 Si 0.4157 0.6627 0.4948
Te1 Te 0.1434 0.7434 0.5357
Te2 Te 0.3838 0.0185 0.7959
```

Results
DFT total energy (eV/f.u.): -14.0
Crystal system: monoclinic

=====

Record 12
A relaxed AuI3Cl9 crystal. Source: Alexandria, functional PBE.

Geometry as CIF:
```
data_AuI3Cl9
_space_group_name_H-M_alt 'C 1 c 1'
_space_group_IT_number 9
_space_group_name_Hall 'C -2yc'
_cell_length_a 20.6446
_cell_length_b 11.1506
_cell_length_c 11.2389
_cell_angle_alpha 90.00
_cell_angle_beta 106.60
_cell_angle_gamma 90.00
loop_
_atom_site_label
_atom_site_type_symbol
_atom_site_fract_x
_atom_site_fract_y
_atom_site_fract_z
Au1 Au 0.0000 0.2267 0.0000
I1 I 0.1962 0.3942 0.8090
I2 I 0.2683 0.0289 0.1099
I3 I 0.3357 0.4674 0.0643
Cl1 Cl 0.0303 0.4075 0.9417
Cl2 Cl 0.1139 0.4933 0.6355
Cl3 Cl 0.1532 0.1954 0.7526
Cl4 Cl 0.1646 0.1273 0.1252
Cl5 Cl 0.2535 0.3925 0.3889
Cl6 Cl 0.3202 0.0438 0.3299
Cl7 Cl 0.3746 0.0728 0.5826
Cl8 Cl 0.3981 0.3259 0.2148
Cl9 Cl 0.4770 0.4593 0.5543
```

Results
DFT total energy (eV/f.u.): -25.8
Density of states at the Fermi level (states/eV per cell): 7.81
Crystal system: monoclinic

=====

| no. | size of the total moment (μB per formula unit) | calculated volume (Å³ per cell) |
| --- | --- | --- |
| 1 | 0.00 | 191.29 |
| 2 | 2.07 | 138.35 |
| 3 | 0.00 | 248.75 |
| 4 | 0.00 | 510.23 |
| 5 | 0.00 | 263.87 |
| 6 | 0.00 | 442.41 |
| 7 | 4.67 | 64.89 |
| 8 | 1.95 | 400.06 |
| 9 | 0.00 | 1166.99 |
| 10 | 0.00 | 336.72 |
| 11 | 0.00 | 724.79 |
| 12 | 0.94 | 2479.32 |